(1)
Here is an optimized crystal structure of Na2CdReO6 from Alexandria via LeMat-Bulk. Energies are from PBE-GGA.

a = 5.6621 Å, b = 5.6601 Å, c = 5.8203 Å
α = 60.90°, β = 60.90°, γ = 59.99°
Last column: nearest neighbours and their distance in Å.
Sites, in units of the cell vectors:
Na: 0.5389 0.5390 0.3828  6 O 2.39-2.46
Na: 0.0412 0.0414 0.8764  6 O 2.35-2.58
Cd: 0.8090 0.8092 0.5729  6 O 2.22-2.42
Re: 0.3120 0.3127 0.0626  6 O 1.83-1.98
O: 0.5551 0.1903 0.2500  1 Re 1.83
O: 0.1909 0.0039 0.2493  1 Re 1.83
O: 0.0042 0.5556 0.2501  1 Re 1.83
O: 0.4514 0.6376 0.7903  1 Re 1.98
O: 0.6386 0.1209 0.7900  1 Re 1.98, 1 Cd 2.22
O: 0.1203 0.4511 0.7908  1 Re 1.98

Values from the calculation:
- V: 134 Å³ per cell
- Raw formation energy: -13.897 eV/f.u.

=====

(2)
Here is an optimized crystal structure of KTl6O8 from Alexandria via LeMat-Bulk. Energies are from PBE-GGA.

a = 7.8015 Å, b = 7.8015 Å, c = 7.8015 Å
α = 60.00°, β = 60.00°, γ = 60.00°
Last column: nearest neighbours and their distance in Å.
Sites, in units of the cell vectors:
K: 0.0000 0.0000 0.0000  8 O 2.80
Tl: 0.0000 0.5000 0.0000  4 O 2.29
Tl: 0.0000 0.0000 0.5000  4 O 2.29
Tl: 0.0000 0.5000 0.5000  4 O 2.29
Tl: 0.5000 0.0000 0.5000  4 O 2.29
Tl: 0.5000 0.5000 0.0000  4 O 2.29
Tl: 0.5000 0.0000 0.0000  4 O 2.29
O: 0.5608 0.1464 0.1464  3 Tl 2.29
O: 0.8536 0.8536 0.4392  3 Tl 2.29
O: 0.1464 0.1464 0.5608  3 Tl 2.29
O: 0.8536 0.8536 0.8536  3 Tl 2.29
O: 0.1464 0.5608 0.1464  3 Tl 2.29
O: 0.1464 0.1464 0.1464  3 Tl 2.29
O: 0.8536 0.4392 0.8536  3 Tl 2.29
O: 0.4392 0.8536 0.8536  3 Tl 2.29

Values from the calculation:
- V: 336 Å³ per cell
- Raw formation energy: -7.228 eV/f.u.
- Energy relative to the lowest polymorph listed for this composition: 2.99 eV per formula unit

=====

(3)
Here is an optimized crystal structure of CaTiCd from Alexandria via LeMat-Bulk. Energies are from PBE-GGA.

a = 8.7016 Å, b = 3.5226 Å, c = 9.8543 Å
α = 90.00°, β = 90.00°, γ = 90.00°
Last column: nearest neighbours and their distance in Å.
Sites, in units of the cell vectors:
Ca: 0.0667 0.2500 0.8317  5 Cd 3.15-3.28, 2 Ti 3.45, 2 Ca 3.52
Ca: 0.4333 0.7500 0.3317  5 Cd 3.15-3.28, 2 Ti 3.45, 2 Ca 3.52
Ca: 0.9333 0.7500 0.1683  5 Cd 3.15-3.28, 2 Ti 3.45, 2 Ca 3.52
Ca: 0.5667 0.2500 0.6683  5 Cd 3.15-3.28, 2 Ti 3.45, 2 Ca 3.52
Ti: 0.0901 0.2500 0.4362  2 Ti 2.67, 2 Cd 2.97
Ti: 0.4099 0.7500 0.9362  2 Ti 2.67, 2 Cd 2.97
Ti: 0.9099 0.7500 0.5638  2 Ti 2.67, 2 Cd 2.97
Ti: 0.5901 0.2500 0.0638  2 Ti 2.67, 2 Cd 2.97
Cd: 0.7414 0.2500 0.3728  4 Ti 2.97-3.32, 5 Ca 3.15-3.28
Cd: 0.7586 0.7500 0.8728  4 Ti 2.97-3.32, 5 Ca 3.15-3.28
Cd: 0.2586 0.7500 0.6272  4 Ti 2.97-3.32, 5 Ca 3.15-3.28
Cd: 0.2414 0.2500 0.1272  4 Ti 2.97-3.32, 5 Ca 3.15-3.28

Values from the calculation:
- V: 302 Å³ per cell
- Energy relative to the lowest polymorph listed for this composition: 0.05 eV per formula unit
- Energy relative to the elements: 0.095 eV per atom

=====

(4)
Here is an optimized crystal structure of CsMnTe2 from Alexandria via LeMat-Bulk. Energies are from PBE-GGA.

a = 10.9017 Å, b = 7.1691 Å, c = 3.8894 Å
α = 90.18°, β = 100.21°, γ = 102.86°
Last column: nearest neighbours and their distance in Å.
Sites, in units of the cell vectors:
Cs: 0.1105 0.2047 0.2868  2 Cs 3.89, 8 Te 3.90-4.11, 2 Mn 4.11-4.14
Cs: 0.7905 0.5877 0.1274  8 Te 3.83-4.18, 2 Cs 3.89
Mn: 0.5378 0.0693 0.5001  5 Te 2.63-2.83, 1 Mn 2.89
Mn: 0.3049 0.7731 0.3824  4 Te 2.67-2.73, 1 Mn 2.89
Te: 0.1294 0.7146 0.7950  2 Mn 2.67
Te: 0.4422 0.2546 0.9539  2 Mn 2.69
Te: 0.7870 0.1007 0.6247  1 Mn 2.63
Te: 0.4836 0.7753 0.9710  4 Mn 2.73-2.83

Values from the calculation:
- V: 291 Å³ per cell
- Raw formation energy: -1.793 eV/f.u.

=====

(5)
Here is an optimized crystal structure of La2SnP3Pt4 from Alexandria via LeMat-Bulk. Energies are from PBE-GGA.

a = 4.2800 Å, b = 4.2800 Å, c = 10.5862 Å
α = 90.00°, β = 90.00°, γ = 90.00°
Last column: nearest neighbours and their distance in Å.
Sites, in units of the cell vectors:
La: 0.5000 0.0000 0.2335  6 P 3.23-3.54, 8 Pt 3.26-3.27, 2 Sn 3.54
La: 0.0000 0.5000 0.7665  6 P 3.23-3.54, 8 Pt 3.26-3.27, 2 Sn 3.54
Sn: 0.5000 0.5000 0.5000  4 Pt 2.68
P: 0.0000 0.0000 0.5000  4 Pt 2.68
P: 0.5000 0.0000 0.8745  5 Pt 2.35-2.52
P: 0.0000 0.5000 0.1255  5 Pt 2.35-2.52
Pt: 0.5000 0.5000 0.0000  4 P 2.52
Pt: 0.0000 0.0000 0.0000  4 P 2.52
Pt: 0.5000 0.0000 0.6528  1 P 2.35
Pt: 0.0000 0.5000 0.3472  1 P 2.35

Values from the calculation:
- V: 194 Å³ per cell
- Energy relative to the elements: -0.948 eV per atom

=====

(6)
Here is an optimized crystal structure of KCaRe2Cl from Alexandria via LeMat-Bulk. Energies are from PBE-GGA.

a = 4.4908 Å, b = 5.4046 Å, c = 4.4908 Å
α = 90.00°, β = 90.00°, γ = 90.00°
Last column: nearest neighbours and their distance in Å.
Sites, in units of the cell vectors:
Re: 0.0000 0.0000 0.5000  2 Cl 2.25
Re: 0.5000 0.0000 0.0000  2 Cl 2.25
Ca: 0.5000 0.5000 0.5000  4 K 3.18, 8 Re 3.51
K: 0.0000 0.5000 0.0000  2 Cl 2.70
Cl: 0.0000 0.0000 0.0000  4 Re 2.25

Values from the calculation:
- V: 109 Å³ per cell
- Raw formation energy: 6.237 eV/f.u.
- Energy relative to the lowest polymorph listed for this composition: 0.00 eV per formula unit

=====

(7)
Here is an optimized crystal structure of Zr2Ni6Ir from Alexandria via LeMat-Bulk. Energies are from PBE-GGA.

a = 5.8145 Å, b = 4.9831 Å, c = 4.9831 Å
α = 120.00°, β = 90.00°, γ = 90.00°
Last column: nearest neighbours and their distance in Å.
Sites, in units of the cell vectors:
Zr: 0.3584 0.6667 0.3333  6 Ni 2.74, 3 Ir 2.99
Zr: 0.6416 0.3333 0.6667  6 Ni 2.74, 3 Ir 2.99
Ni: 0.8373 0.8267 0.6533  6 Ni 2.39-2.59, 1 Ir 2.47
Ni: 0.8373 0.8267 0.1733  6 Ni 2.39-2.59, 1 Ir 2.47
Ni: 0.1627 0.6533 0.8267  6 Ni 2.39-2.59, 1 Ir 2.47
Ni: 0.8373 0.3467 0.1733  6 Ni 2.39-2.59, 1 Ir 2.47
Ni: 0.1627 0.1733 0.8267  6 Ni 2.39-2.59, 1 Ir 2.47
Ni: 0.1627 0.1733 0.3467  6 Ni 2.39-2.59, 1 Ir 2.47
Ir: 0.5000 0.0000 0.0000  6 Ni 2.47

Values from the calculation:
- V: 125 Å³ per cell
- Energy relative to the elements: -0.344 eV per atom

=====

(8)
Here is an optimized crystal structure of CePmSnBi from Alexandria via LeMat-Bulk. Energies are from PBE-GGA.

a = 5.5286 Å, b = 5.5286 Å, c = 5.5286 Å
α = 60.00°, β = 60.00°, γ = 60.00°
Last column: nearest neighbours and their distance in Å.
Sites, in units of the cell vectors:
Sn: 0.2500 0.2500 0.2500  4 Pm 3.39, 4 Ce 3.39
Bi: 0.7500 0.7500 0.7500  4 Pm 3.39, 4 Ce 3.39
Ce: 0.5000 0.5000 0.5000  4 Sn 3.39, 4 Bi 3.39
Pm: 0.0000 0.0000 0.0000  4 Bi 3.39, 4 Sn 3.39

Values from the calculation:
- V: 119 Å³ per cell
- Energy relative to the elements: -0.574 eV per atom

=====

(9)
Here is an optimized crystal structure of InCu2Sb from Alexandria via LeMat-Bulk. Energies are from PBE-GGA.

a = 4.5467 Å, b = 4.2791 Å, c = 3.8618 Å
α = 90.00°, β = 90.00°, γ = 90.00°
Last column: nearest neighbours and their distance in Å.
Sites, in units of the cell vectors:
Cu: 0.0000 0.0000 0.0000  4 Sb 2.88, 4 In 2.98, 4 Cu 3.12
Cu: 0.5000 0.5000 0.0000  4 In 2.88, 4 Sb 2.98, 4 Cu 3.12
In: 0.5000 0.0000 0.5000  8 Cu 2.88-2.98, 4 Sb 3.12
Sb: 0.0000 0.5000 0.5000  8 Cu 2.88-2.98, 4 In 3.12

Values from the calculation:
- V: 75 Å³ per cell
- Raw formation energy: 0.893 eV/f.u.

=====

(10)
Here is an optimized crystal structure of LaOsPt2 from Alexandria via LeMat-Bulk. Energies are from PBE-GGA.

a = 5.5260 Å, b = 5.5260 Å, c = 5.2167 Å
α = 65.52°, β = 65.52°, γ = 31.26°
Last column: nearest neighbours and their distance in Å.
Sites, in units of the cell vectors:
La: 0.5107 0.5107 0.5663  7 Pt 2.88-3.05, 2 La 2.98, 3 Os 2.99-3.06
Os: 0.2623 0.2623 0.1287  5 Pt 2.73-3.05, 2 Os 2.98, 1 La 2.99
Pt: 0.9829 0.9829 0.0975  3 Os 2.73-3.05, 4 Pt 2.98-3.04, 4 La 2.98-3.05
Pt: 0.7441 0.7441 0.7075  2 Os 2.73, 3 La 2.88-3.00, 4 Pt 2.98-3.04

Values from the calculation:
- V: 75 Å³ per cell
- Energy relative to the lowest polymorph listed for this composition: 1.19 eV per formula unit
- Energy relative to the elements: -0.125 eV per atom

=====

(11)
Here is an optimized crystal structure of Dy2Ho2Pt15 from Alexandria via LeMat-Bulk. Energies are from PBE-GGA.

a = 7.0880 Å, b = 7.0880 Å, c = 7.0880 Å
α = 82.09°, β = 82.09°, γ = 82.09°
Last column: nearest neighbours and their distance in Å.
Sites, in units of the cell vectors:
Dy: 0.3632 0.3632 0.3632  12 Pt 3.16-3.34
Dy: 0.6368 0.6368 0.6368  12 Pt 3.16-3.34
Ho: 0.1072 0.1072 0.1072  6 Pt 2.81-2.91, 1 Ho 2.97
Ho: 0.8928 0.8928 0.8928  6 Pt 2.81-2.91, 1 Ho 2.97
Pt: 0.5000 0.0000 0.0000  8 Pt 2.72-2.74, 2 Ho 2.81
Pt: 0.0000 0.0000 0.5000  8 Pt 2.72-2.74, 2 Ho 2.81
Pt: 0.0000 0.5000 0.0000  8 Pt 2.72-2.74, 2 Ho 2.81
Pt: 0.0000 0.6853 0.3147  8 Pt 2.74-2.93
Pt: 0.6853 0.3147 0.0000  8 Pt 2.74-2.93
Pt: 0.3147 0.0000 0.6853  8 Pt 2.74-2.93
Pt: 0.3147 0.6853 0.0000  8 Pt 2.74-2.93
Pt: 0.6853 0.0000 0.3147  8 Pt 2.74-2.93
Pt: 0.0000 0.3147 0.6853  8 Pt 2.74-2.93
Pt: 0.1623 0.6526 0.6526  8 Pt 2.65-2.87, 1 Ho 2.91
Pt: 0.6526 0.6526 0.1623  8 Pt 2.65-2.87, 1 Ho 2.91
Pt: 0.6526 0.1623 0.6526  8 Pt 2.65-2.87, 1 Ho 2.91
Pt: 0.8377 0.3474 0.3474  8 Pt 2.65-2.87, 1 Ho 2.91
Pt: 0.3474 0.3474 0.8377  8 Pt 2.65-2.87, 1 Ho 2.91
Pt: 0.3474 0.8377 0.3474  8 Pt 2.65-2.87, 1 Ho 2.91

Values from the calculation:
- V: 347 Å³ per cell
- Energy relative to the elements: -0.716 eV per atom

=====

(12)
Here is an optimized crystal structure of DyEr3N4 from Alexandria via LeMat-Bulk. Energies are from PBE-GGA.

a = 4.8645 Å, b = 4.8645 Å, c = 4.8645 Å
α = 90.00°, β = 90.00°, γ = 90.00°
Last column: nearest neighbours and their distance in Å.
Sites, in units of the cell vectors:
Dy: 0.0000 0.0000 0.0000  6 N 2.43
Er: 0.0000 0.5000 0.5000  6 N 2.43
Er: 0.5000 0.0000 0.5000  6 N 2.43
Er: 0.5000 0.5000 0.0000  6 N 2.43
N: 0.5000 0.0000 0.0000  4 Er 2.43, 2 Dy 2.43
N: 0.0000 0.5000 0.0000  2 Dy 2.43, 4 Er 2.43
N: 0.0000 0.0000 0.5000  4 Er 2.43, 2 Dy 2.43
N: 0.5000 0.5000 0.5000  6 Er 2.43

Values from the calculation:
- V: 115 Å³ per cell
- Raw formation energy: -14.098 eV/f.u.

=====

Repeat the third record exactly.
Here is an optimized crystal structure of CaTiCd from Alexandria via LeMat-Bulk. Energies are from PBE-GGA.

a = 8.7016 Å, b = 3.5226 Å, c = 9.8543 Å
α = 90.00°, β = 90.00°, γ = 90.00°
Last column: nearest neighbours and their distance in Å.
Sites, in units of the cell vectors:
Ca: 0.0667 0.2500 0.8317  5 Cd 3.15-3.28, 2 Ti 3.45, 2 Ca 3.52
Ca: 0.4333 0.7500 0.3317  5 Cd 3.15-3.28, 2 Ti 3.45, 2 Ca 3.52
Ca: 0.9333 0.7500 0.1683  5 Cd 3.15-3.28, 2 Ti 3.45, 2 Ca 3.52
Ca: 0.5667 0.2500 0.6683  5 Cd 3.15-3.28, 2 Ti 3.45, 2 Ca 3.52
Ti: 0.0901 0.2500 0.4362  2 Ti 2.67, 2 Cd 2.97
Ti: 0.4099 0.7500 0.9362  2 Ti 2.67, 2 Cd 2.97
Ti: 0.9099 0.7500 0.5638  2 Ti 2.67, 2 Cd 2.97
Ti: 0.5901 0.2500 0.0638  2 Ti 2.67, 2 Cd 2.97
Cd: 0.7414 0.2500 0.3728  4 Ti 2.97-3.32, 5 Ca 3.15-3.28
Cd: 0.7586 0.7500 0.8728  4 Ti 2.97-3.32, 5 Ca 3.15-3.28
Cd: 0.2586 0.7500 0.6272  4 Ti 2.97-3.32, 5 Ca 3.15-3.28
Cd: 0.2414 0.2500 0.1272  4 Ti 2.97-3.32, 5 Ca 3.15-3.28

Values from the calculation:
- V: 302 Å³ per cell
- Energy relative to the lowest polymorph listed for this composition: 0.05 eV per formula unit
- Energy relative to the elements: 0.095 eV per atom